## Sr2PmCdO4 (PBE)

Data for a geometry-optimized Sr2PmCdO4 structure.

Final energy, eV/f.u.: -47.5
Formation energy without anion corrections, eV/atom: -2.33
Crystal system: monoclinic

Lattice parameters (Å, degrees): 6.2837 3.6327 6.3444 90.00 109.24 90.00
Last column: nearest neighbours and their distance in Å.
Positions (direct):
Sr: 0.0000 0.0000 0.0000  6 O 2.68-2.73
Sr: 0.0000 0.5000 0.5000  6 O 2.48-2.50
Pm: 0.5000 0.0000 0.5000  6 O 2.42-2.48
Cd: 0.5000 0.5000 0.0000  6 O 2.66-2.67
O: 0.2496 0.0000 0.7196  1 Pm 2.42, 2 Sr 2.50, 2 Cd 2.66
O: 0.2608 0.5000 0.2789  2 Pm 2.48, 3 Sr 2.48-2.68, 1 Cd 2.67
O: 0.7392 0.5000 0.7211  2 Pm 2.48, 3 Sr 2.48-2.68, 1 Cd 2.67
O: 0.7504 0.0000 0.2804  1 Pm 2.42, 2 Sr 2.50, 2 Cd 2.66